GGA-PBE AcAlGaRh, optimized geometry; uncorrected energy = -5.226 eV per atom; calculated formation energy = -2.67 eV/f.u.; crystal system = trigonal
1.0
4.2900 0.0000 0.0000
2.1450 3.7152 0.0000
2.1450 1.2384 5.7073
Ac Al Ga Rh
1 1 1 1
Direct
0.8071 0.8071 0.5786 Ac
0.6062 0.6062 0.1815 Al
0.0123 0.0123 0.9632 Ga
0.3003 0.3003 0.0991 Rh

=====

GGA-PBE Ac2AlGa3Rh4, optimized geometry; uncorrected energy = -5.859 eV per atom; calculated formation energy = -8.15 eV/f.u.; crystal system = tetragonal
1.0
-2.5650 -0.8041 -3.4621
-0.0431 -4.2621 1.0219
-8.4197 1.4975 5.8901
Ac Al Ga Rh
2 1 3 4
Direct
0.5000 0.0000 0.2393 Ac
0.0000 0.5000 0.7607 Ac
0.5000 0.5000 0.5000 Al
0.0000 0.0000 0.5000 Ga
0.5000 0.0000 0.8790 Ga
0.0000 0.5000 0.1210 Ga
0.5000 0.5000 0.0000 Rh
0.0000 0.0000 0.0000 Rh
0.5000 0.0000 0.6274 Rh
0.0000 0.5000 0.3726 Rh

=====

GGA-PBE AcAlGa2S6, optimized geometry; uncorrected formation energy = -1.0857 eV per atom; uncorrected energy = -4.953 eV per atom; crystal system = monoclinic
1.0
7.4902 0.2293 0.2380
2.6902 8.2586 0.5070
2.6902 0.2005 8.2718
Ac Al Ga S
2 2 4 12
Direct
0.2500 0.8260 0.1740 Ac
0.7500 0.1740 0.8260 Ac
0.2500 0.1847 0.8153 Al
0.7500 0.8153 0.1847 Al
0.3304 0.7543 0.6348 Ga
0.1696 0.3652 0.2457 Ga
0.6696 0.2457 0.3652 Ga
0.8304 0.6348 0.7543 Ga
0.1640 0.9521 0.8293 S
0.3360 0.1707 0.0479 S
0.8360 0.0479 0.1707 S
0.6640 0.8293 0.9521 S
0.4610 0.8743 0.3845 S
0.0390 0.6155 0.1257 S
0.5390 0.1257 0.6155 S
0.9610 0.3845 0.8743 S
0.0627 0.7395 0.5619 S
0.4373 0.4381 0.2605 S
0.9373 0.2605 0.4381 S
0.5627 0.5619 0.7395 S

=====

GGA-PBE Ac2AlGaS6, optimized geometry; uncorrected formation energy = -1.4801 eV per atom; uncorrected energy = -5.455 eV per atom; crystal system = monoclinic
1.0
-3.9339 4.3248 -2.9086
-1.4192 -4.7561 -5.1523
-7.3775 -3.3364 5.1120
Ac Al Ga S
4 2 2 12
Direct
0.0303 0.9023 0.2491 Ac
0.5303 0.5977 0.7491 Ac
0.9697 0.0977 0.7509 Ac
0.4697 0.4023 0.2509 Ac
0.5000 0.0000 0.0000 Al
0.0000 0.5000 0.5000 Al
0.5000 0.0000 0.5000 Ga
0.0000 0.5000 0.0000 Ga
0.3037 0.6839 0.0417 S
0.8037 0.8161 0.5417 S
0.6963 0.3161 0.9583 S
0.1963 0.1839 0.4583 S
0.2985 0.6808 0.4585 S
0.7985 0.8192 0.9585 S
0.7015 0.3192 0.5415 S
0.2015 0.1808 0.0415 S
0.9168 0.4935 0.2543 S
0.4168 0.0065 0.7543 S
0.0832 0.5065 0.7457 S
0.5832 0.9935 0.2457 S